16
Lattice="5.5284 0.0000 0.0000 0.0000 5.5284 0.0000 0.0000 0.0000 22.0576" Properties=species:S:1:pos:R:3 comment="PBE-GGA Ac12Nd3Dy, optimized geometry" dos_ef_per_ev_atom=1.682 crystal_system=tetragonal total_energy_ev_per_atom=-4.24 pbc="T T T"
Ac 2.7642 2.7642 0.0000
Ac 2.7642 2.7642 5.4900
Ac 2.7642 2.7642 11.0288
Ac 2.7642 2.7642 16.5676
Ac 2.7642 0.0000 2.7247
Ac 2.7642 0.0000 8.2590
Ac 2.7642 0.0000 13.7986
Ac 2.7642 0.0000 19.3329
Ac 0.0000 2.7642 2.7247
Ac 0.0000 2.7642 8.2590
Ac 0.0000 2.7642 13.7986
Ac 0.0000 2.7642 19.3329
Nd 0.0000 0.0000 5.4883
Nd 0.0000 0.0000 11.0288
Nd 0.0000 0.0000 16.5693
Dy 0.0000 0.0000 0.0000


5
Lattice="4.2760 0.0000 0.0000 0.0000 4.2760 0.0000 2.1380 2.1380 6.3666" Properties=species:S:1:pos:R:3 comment="PBE-GGA RbCu2Si2, optimized geometry" dos_ef_per_ev_atom=0.265 de_polymorph_mev_per_atom=0 crystal_system=tetragonal formation_energy_uncorrected_ev_per_atom=0.1443 pbc="T T T"
Si 2.1380 2.1380 2.2175
Si 4.2760 4.2760 4.1490
Cu 4.2760 2.1380 3.1833
Cu 2.1380 4.2760 3.1833
Rb 0.0000 0.0000 0.0000


4
Lattice="3.8237 0.0000 0.0000 0.0000 4.5637 0.0000 -1.9119 0.0000 5.3091" Properties=species:S:1:pos:R:3 comment="PBE-GGA YThCuPt, optimized geometry" dos_ef_per_ev_atom=0.885 de_polymorph_mev_per_atom=0 crystal_system=orthorhombic pbc="T T T"
Y 0.0000 0.0000 1.4899
Th 1.9119 2.2819 3.8368
Cu 0.0000 0.0000 4.4597
Pt 1.9119 2.2819 0.8319


18
Lattice="3.7949 0.0001 0.0000 -1.8972 8.3172 0.0005 0.0000 0.0005 10.3255" Properties=species:S:1:pos:R:3 comment="PBE-GGA U2CuPdS5, optimized geometry" dos_ef_per_ev_atom=1.291 crystal_system=monoclinic formation_energy_uncorrected_ev_per_atom=-0.9254 pbc="T T T"
U 1.8977 6.7344 8.1573
U 0.0003 2.3107 7.0909
U -0.0001 1.5832 2.9946
U 1.8974 6.0072 1.9282
Cu 1.8946 1.3177 0.1036
Cu 0.0030 7.0001 5.2669
Pd 1.8981 4.9281 5.0691
Pd -0.0005 3.3896 10.2317
S -0.0002 5.9424 10.2518
S 1.8974 3.7116 8.5546
S 1.8976 0.5407 8.2601
S 0.0002 5.2306 6.7886
S 1.8992 8.1783 5.8617
S 1.8978 2.3756 5.0890
S 0.0003 4.6060 3.3916
S 0.0000 7.7769 3.0976
S 1.8975 3.0872 1.6257
S -0.0016 0.1397 0.6988